Entry 1:
Density functional theory data (GGA-PBE) for CrReCl2 after structural relaxation.

Results
As for the uncorrected formation energy: 15.06 kcal/mol of atoms.

Cell lengths 2.9682, 4.0824, 5.6450 Å; angles 90.00, 100.01, 90.00 degrees
Space group P2/m (No. 10)
Asymmetric unit:
1 Cr 0.0000 0.0000 0.0000
2 Re 0.5000 0.0000 0.5000
3 Cl 0.3862 0.5000 0.2517

---

Entry 2:
Density functional theory data (GGA-PBE) for CrRe2Cl2 after structural relaxation.

Results
As for the uncorrected formation energy: 33.51 kcal/mol of atoms.

Cell lengths 7.6093, 7.6093, 2.7675 Å; angles 90.00, 90.00, 90.00 degrees
Space group P4/mbm (No. 127)
Asymmetric unit:
1 Cr 0.0000 0.0000 0.0000
2 Re 0.1965 0.3035 0.5000
3 Cl 0.1278 0.6278 0.0000

---

Entry 3:
Density functional theory data (GGA-PBE) for CrReCl2 after structural relaxation.

Results
As for the uncorrected formation energy: 5.48 kcal/mol of atoms.

Cell lengths 2.9875, 3.0346, 17.4350 Å; angles 90.00, 90.00, 90.00 degrees
Space group Imm2 (No. 44)
Asymmetric unit:
1 Cr 0.0000 0.0000 0.0000
2 Re 0.0000 0.5000 0.9031
3 Cl 0.0000 0.0000 0.5869
4 Cl 0.0000 0.5000 0.3032

---

Entry 4:
Density functional theory data (GGA-PBE) for CrReS2Cl after structural relaxation.

Results
As for the uncorrected formation energy: 9.37 kcal/mol of atoms.

Cell lengths 4.5535, 4.5535, 5.1370 Å; angles 90.00, 90.00, 90.00 degrees
Space group P4/mmm (No. 123)
Asymmetric unit:
1 Cr 0.0000 0.0000 0.0000
2 Re 0.5000 0.5000 0.5000
3 S 0.0000 0.5000 0.5000
4 Cl 0.5000 0.5000 0.0000

---

Entry 5:
Density functional theory data (GGA-PBE) for CrReS2Cl after structural relaxation.

Results
As for the uncorrected formation energy: 19.40 kcal/mol of atoms.

Cell lengths 4.7126, 4.7126, 4.5497 Å; angles 90.00, 90.00, 90.00 degrees
Space group P4/mmm (No. 123)
Asymmetric unit:
1 Cr 0.0000 0.0000 0.0000
2 Re 0.5000 0.5000 0.5000
3 S 0.0000 0.5000 0.0000
4 Cl 0.0000 0.0000 0.5000

---

Entry 6:
Density functional theory data (GGA-PBE) for CrReSCl2 after structural relaxation.

Results
As for the uncorrected formation energy: 15.79 kcal/mol of atoms.

Cell lengths 4.6316, 4.6316, 5.0158 Å; angles 90.00, 90.00, 90.00 degrees
Space group P4/mmm (No. 123)
Asymmetric unit:
1 Cr 0.0000 0.0000 0.0000
2 Re 0.5000 0.5000 0.5000
3 S 0.0000 0.0000 0.5000
4 Cl 0.0000 0.5000 0.0000

---

Entry 7:
Density functional theory data (GGA-PBE) for CrReSCl2 after structural relaxation.

Results
As for the uncorrected formation energy: 9.99 kcal/mol of atoms.

Cell lengths 4.9723, 4.9723, 4.4658 Å; angles 90.00, 90.00, 90.00 degrees
Space group P4/mmm (No. 123)
Asymmetric unit:
1 Cr 0.0000 0.0000 0.0000
2 Re 0.5000 0.5000 0.5000
3 S 0.5000 0.5000 0.0000
4 Cl 0.0000 0.5000 0.5000

---

Entry 8:
Density functional theory data (GGA-PBE) for CrReS2Cl after structural relaxation.

Results
As for the uncorrected formation energy: 50.29 kcal/mol of atoms.

Cell lengths 4.6516, 4.6516, 4.3442 Å; angles 90.00, 90.00, 90.00 degrees
Space group P4/mmm (No. 123)
Asymmetric unit:
1 Cr 0.0000 0.0000 0.0000
2 Re 0.5000 0.5000 0.0000
3 S 0.0000 0.5000 0.5000
4 Cl 0.5000 0.5000 0.5000

---

Entry 9:
Density functional theory data (GGA-PBE) for Cr2ReSbCl after structural relaxation.

Results
As for the uncorrected formation energy: 23.47 kcal/mol of atoms.

Cell lengths 4.9476, 4.9476, 4.4210 Å; angles 90.00, 90.00, 90.00 degrees
Space group P4/mmm (No. 123)
Asymmetric unit:
1 Cr 0.0000 0.5000 0.0000
2 Re 0.0000 0.0000 0.0000
3 Sb 0.5000 0.5000 0.5000
4 Cl 0.0000 0.0000 0.5000

---

Entry 10:
Density functional theory data (GGA-PBE) for CrReSbCl2 after structural relaxation.

Results
As for the uncorrected formation energy: 16.88 kcal/mol of atoms.

Cell lengths 4.4145, 4.4145, 6.0495 Å; angles 90.00, 90.00, 90.00 degrees
Space group P4/mmm (No. 123)
Asymmetric unit:
1 Cr 0.0000 0.0000 0.0000
2 Re 0.0000 0.0000 0.5000
3 Sb 0.5000 0.5000 0.5000
4 Cl 0.0000 0.5000 0.0000

---

Entry 11:
Density functional theory data (GGA-PBE) for CrReSeCl2 after structural relaxation.

Results
As for the uncorrected formation energy: 33.40 kcal/mol of atoms.

Cell lengths 5.6407, 5.6407, 4.6814 Å; angles 90.00, 90.00, 90.00 degrees
Space group P4/mmm (No. 123)
Asymmetric unit:
1 Cr 0.0000 0.0000 0.0000
2 Re 0.5000 0.5000 0.0000
3 Se 0.0000 0.0000 0.5000
4 Cl 0.0000 0.5000 0.5000

---

Entry 12:
Density functional theory data (GGA-PBE) for Cr2ReSnCl after structural relaxation.

Results
As for the uncorrected formation energy: 58.56 kcal/mol of atoms.

Cell lengths 4.9270, 4.9270, 4.9812 Å; angles 90.00, 90.00, 90.00 degrees
Space group P4/mmm (No. 123)
Asymmetric unit:
1 Cr 0.0000 0.5000 0.0000
2 Re 0.0000 0.0000 0.5000
3 Sn 0.0000 0.0000 0.0000
4 Cl 0.5000 0.5000 0.5000

---

How do the records compare in DOS at the Fermi energy? In the order shown, they have 3.25 6.05 2.83 1.78 2.76 1.60 4.70 7.03 2.87 2.72 1.99 12.19 states/eV/f.u..